No. 1
Here is CuAg after structural relaxation from OQMD via LeMat-Bulk. Energies are from PBE.

Results
Symmetry: No. 8

abc: 6.0133 6.0133 9.2394
angles: 100.28 100.28 26.75
Element x y z (fractional)
1 Cu 0.0000 0.0000 0.0000
2 Cu 0.2219 0.2219 0.6311
3 Cu 0.3178 0.3178 0.9079
4 Cu 0.5236 0.5236 0.5423
5 Cu 0.9092 0.9092 0.7244
6 Ag 0.1155 0.1155 0.3429
7 Ag 0.4153 0.4153 0.2050
8 Ag 0.6131 0.6131 0.8178
9 Ag 0.7020 0.7020 0.1136
10 Ag 0.8297 0.8297 0.4357

No. 2
Here is Cu3Ag2 after structural relaxation from OQMD via LeMat-Bulk. Energies are from PBE.

Results
Symmetry: No. 6
Energy above the lowest structure with this stoichiometry in meV per atom: 39

abc: 6.7559 2.7886 7.7097
angles: 90.00 100.16 90.00
Element x y z (fractional)
1 Cu 0.0000 0.0000 0.0000
2 Cu 0.0649 0.5000 0.2879
3 Cu 0.5511 0.5000 0.5382
4 Cu 0.6336 0.0000 0.8084
5 Cu 0.8137 0.0000 0.4282
6 Cu 0.9135 0.5000 0.7138
7 Ag 0.2140 0.0000 0.5809
8 Ag 0.3101 0.5000 0.9070
9 Ag 0.3891 0.0000 0.2468
10 Ag 0.7017 0.5000 0.1145

No. 3
Here is Cu5Ag3 after structural relaxation from OQMD via LeMat-Bulk. Energies are from PBE.

Results
Symmetry: No. 8
Energy above the lowest structure with this stoichiometry in meV per atom: 51

abc: 17.7157 2.7341 4.6886
angles: 90.00 93.27 90.00
Element x y z (fractional)
1 Cu 0.0000 0.0000 0.0000
2 Cu 0.0032 0.5000 0.4891
3 Cu 0.1222 0.0000 0.3654
4 Cu 0.2441 0.5000 0.2334
5 Cu 0.3882 0.5000 0.6298
6 Cu 0.5000 0.5000 0.0000
7 Cu 0.5032 0.0000 0.4891
8 Cu 0.6222 0.5000 0.3654
9 Cu 0.7441 0.0000 0.2334
10 Cu 0.8882 0.0000 0.6298
11 Ag 0.1222 0.5000 0.8676
12 Ag 0.2569 0.0000 0.7204
13 Ag 0.3758 0.0000 0.1366
14 Ag 0.6222 0.0000 0.8676
15 Ag 0.7569 0.5000 0.7204
16 Ag 0.8758 0.5000 0.1366

No. 4
Here is CuAg after structural relaxation from OQMD via LeMat-Bulk. Energies are from PBE.

Results
Symmetry: No. 12

abc: 4.7802 4.7802 11.8742
angles: 99.57 99.57 34.35
Element x y z (fractional)
1 Cu 0.0000 0.0000 0.0000
2 Cu 0.0982 0.0982 0.7199
3 Cu 0.3088 0.3088 0.0872
4 Cu 0.6912 0.6912 0.9128
5 Cu 0.9018 0.9018 0.2801
6 Ag 0.2059 0.2059 0.3884
7 Ag 0.3945 0.3945 0.8164
8 Ag 0.5000 0.5000 0.5000
9 Ag 0.6055 0.6055 0.1836
10 Ag 0.7941 0.7941 0.6116

No. 5
Here is CuAg after structural relaxation from OQMD via LeMat-Bulk. Energies are from PBE.

Results
Symmetry: No. 8

abc: 11.7665 2.7721 5.5983
angles: 90.00 103.68 90.00
Element x y z (fractional)
1 Cu 0.0000 0.0000 0.0000
2 Cu 0.0012 0.0000 0.4646
3 Cu 0.3481 0.0000 0.1559
4 Cu 0.5000 0.5000 0.0000
5 Cu 0.5012 0.5000 0.4646
6 Cu 0.8481 0.5000 0.1559
7 Ag 0.1643 0.5000 0.8181
8 Ag 0.1708 0.5000 0.3122
9 Ag 0.3490 0.0000 0.6565
10 Ag 0.6643 0.0000 0.8181
11 Ag 0.6708 0.0000 0.3122
12 Ag 0.8490 0.5000 0.6565

No. 6
Here is CuAg after structural relaxation from OQMD via LeMat-Bulk. Energies are from PBE.

Results
Symmetry: No. 12

abc: 9.4690 2.8541 9.2698
angles: 90.00 106.77 90.00
Element x y z (fractional)
1 Cu 0.0260 0.0000 0.2596
2 Cu 0.2468 0.5000 0.3879
3 Cu 0.2532 0.0000 0.6121
4 Cu 0.4740 0.5000 0.7404
5 Cu 0.5260 0.5000 0.2596
6 Cu 0.7468 0.0000 0.3879
7 Cu 0.7532 0.5000 0.6121
8 Cu 0.9740 0.0000 0.7404
9 Ag 0.0000 0.5000 0.0000
10 Ag 0.0000 0.5000 0.5000
11 Ag 0.2281 0.5000 0.8516
12 Ag 0.2719 0.0000 0.1484
13 Ag 0.5000 0.0000 0.0000
14 Ag 0.5000 0.0000 0.5000
15 Ag 0.7281 0.0000 0.8516
16 Ag 0.7719 0.5000 0.1484

No. 7
Here is CuAg after structural relaxation from OQMD via LeMat-Bulk. Energies are from PBE.

Results
Symmetry: No. 160

abc: 21.9048 21.9048 21.9048
angles: 7.38 7.38 7.38
Element x y z (fractional)
1 Cu 0.0000 0.0000 0.0000
2 Cu 0.0965 0.0965 0.0965
3 Cu 0.4966 0.4966 0.4966
4 Cu 0.6957 0.6957 0.6957
5 Cu 0.8960 0.8960 0.8960
6 Ag 0.1964 0.1964 0.1964
7 Ag 0.2999 0.2999 0.2999
8 Ag 0.3962 0.3962 0.3962
9 Ag 0.5957 0.5957 0.5957
10 Ag 0.7966 0.7966 0.7966

No. 8
Here is Cu3Ag2 after structural relaxation from OQMD via LeMat-Bulk. Energies are from PBE.

Results
Symmetry: No. 12
Energy above the lowest structure with this stoichiometry in meV per atom: 58

abc: 4.7164 4.7164 8.6686
angles: 90.96 90.96 47.96
Element x y z (fractional)
1 Cu 0.1046 0.1046 0.3059
2 Cu 0.2067 0.2067 0.5969
3 Cu 0.3025 0.3025 0.8920
4 Cu 0.6975 0.6975 0.1080
5 Cu 0.7933 0.7933 0.4031
6 Cu 0.8954 0.8954 0.6941
7 Ag 0.0000 0.0000 0.0000
8 Ag 0.3923 0.3923 0.2016
9 Ag 0.5000 0.5000 0.5000
10 Ag 0.6077 0.6077 0.7984

Number 1: final energy -31.8 eV/cell, formation enthalpy at 0 K 0.091 eV per atom, ρ 9.63 g cm⁻³. Number 2: final energy -32.8 eV/cell, formation enthalpy at 0 K 0.081 eV per atom, ρ 9.44 g cm⁻³. Number 3: final energy -52.6 eV/cell, formation enthalpy at 0 K 0.098 eV per atom, ρ 9.39 g cm⁻³. Number 4: final energy -31.8 eV/cell, formation enthalpy at 0 K 0.095 eV per atom, ρ 9.44 g cm⁻³. Number 5: final energy -38.2 eV/cell, formation enthalpy at 0 K 0.091 eV per atom, ρ 9.63 g cm⁻³. Number 6: final energy -51.1 eV/cell, formation enthalpy at 0 K 0.080 eV per atom, ρ 9.49 g cm⁻³. Number 7: final energy -31.6 eV/cell, formation enthalpy at 0 K 0.112 eV per atom, ρ 9.47 g cm⁻³. Number 8: final energy -32.6 eV/cell, formation enthalpy at 0 K 0.100 eV per atom, ρ 9.43 g cm⁻³.